[1]
# Te2PRh | Alexandria | GGA-PBEsol | relaxed
data_Te2PRh
_chemical_formula_sum 'Te2 P1 Rh1'
_cell_length_a 3.348
_cell_length_b 4.510
_cell_length_c 5.160
_cell_angle_alpha 90.00
_cell_angle_beta 90.00
_cell_angle_gamma 90.00
_space_group_name_H-M_alt 'P 1'
_space_group_IT_number 1
loop_
_space_group_symop_operation_xyz
'x,y,z'
loop_
_atom_site_label
_atom_site_type_symbol
_atom_site_fract_x
_atom_site_fract_y
_atom_site_fract_z
Rh1 Rh 0.000 0.500 0.500
Te1 Te 0.500 0.000 0.500
Te2 Te 0.000 0.000 0.000
P1 P 0.500 0.500 0.000
# - crystal system = orthorhombic
# - N(E_F) (states/eV/f.u.) = 2.3
# - energy relative to the elements, uncorrected (eV per atom) = 0.48

=====

[2]
# TePRh2 | Alexandria | GGA-PBEsol | relaxed
data_TePRh2
_chemical_formula_sum 'Te1 P1 Rh2'
_cell_length_a 2.976
_cell_length_b 2.976
_cell_length_c 7.025
_cell_angle_alpha 90.00
_cell_angle_beta 90.00
_cell_angle_gamma 89.96
_space_group_name_H-M_alt 'P 1'
_space_group_IT_number 1
loop_
_space_group_symop_operation_xyz
'x,y,z'
loop_
_atom_site_label
_atom_site_type_symbol
_atom_site_fract_x
_atom_site_fract_y
_atom_site_fract_z
Rh1 Rh 0.000 0.000 0.810
Rh2 Rh 0.000 0.000 0.190
Te1 Te 0.500 0.500 0.500
P1 P 0.500 0.500 0.000
# - crystal system = tetragonal
# - relative energy among the computed polymorphs (meV/atom) = 0
# - N(E_F) (states/eV/f.u.) = 2.5
# - energy relative to the elements, uncorrected (eV per atom) = -0.19

=====

[3]
# TePRh2 | Alexandria | GGA-PBEsol | relaxed
data_TePRh2
_chemical_formula_sum 'Te1 P1 Rh2'
_cell_length_a 4.442
_cell_length_b 4.442
_cell_length_c 4.442
_cell_angle_alpha 60.00
_cell_angle_beta 60.00
_cell_angle_gamma 60.00
_space_group_name_H-M_alt 'P 1'
_space_group_IT_number 1
loop_
_space_group_symop_operation_xyz
'x,y,z'
loop_
_atom_site_label
_atom_site_type_symbol
_atom_site_fract_x
_atom_site_fract_y
_atom_site_fract_z
Rh1 Rh 0.750 0.750 0.750
Rh2 Rh 0.250 0.250 0.250
P1 P 0.500 0.500 0.500
Te1 Te 0.000 0.000 0.000
# - crystal system = cubic
# - relative energy among the computed polymorphs (meV/atom) = 177
# - N(E_F) (states/eV/f.u.) = 3.7
# - energy relative to the elements, uncorrected (eV per atom) = -0.01

=====

[4]
# TeP2Rh2 | Alexandria | GGA-PBEsol | relaxed
data_TeP2Rh2
_chemical_formula_sum 'Te1 P2 Rh2'
_cell_length_a 3.797
_cell_length_b 3.797
_cell_length_c 6.338
_cell_angle_alpha 107.43
_cell_angle_beta 107.43
_cell_angle_gamma 90.00
_space_group_name_H-M_alt 'P 1'
_space_group_IT_number 1
loop_
_space_group_symop_operation_xyz
'x,y,z'
loop_
_atom_site_label
_atom_site_type_symbol
_atom_site_fract_x
_atom_site_fract_y
_atom_site_fract_z
P1 P 0.750 0.250 0.500
P2 P 0.250 0.750 0.500
Rh1 Rh 0.372 0.372 0.744
Rh2 Rh 0.628 0.628 0.256
Te1 Te 0.000 0.000 0.000
# - crystal system = tetragonal
# - N(E_F) (states/eV/f.u.) = 4.2
# - energy relative to the elements, uncorrected (eV per atom) = -0.22

=====

[5]
# TePRh | Alexandria | GGA-PBEsol | relaxed
data_TePRh
_chemical_formula_sum 'Te8 P8 Rh8'
_cell_length_a 6.013
_cell_length_b 6.110
_cell_length_c 12.072
_cell_angle_alpha 90.00
_cell_angle_beta 90.00
_cell_angle_gamma 90.00
_space_group_name_H-M_alt 'P 1'
_space_group_IT_number 1
loop_
_space_group_symop_operation_xyz
'x,y,z'
loop_
_atom_site_label
_atom_site_type_symbol
_atom_site_fract_x
_atom_site_fract_y
_atom_site_fract_z
P1 P 0.130 0.175 0.563
P2 P 0.630 0.175 0.937
P3 P 0.370 0.825 0.063
P4 P 0.630 0.325 0.437
P5 P 0.370 0.675 0.563
P6 P 0.870 0.675 0.937
P7 P 0.870 0.825 0.437
P8 P 0.130 0.325 0.063
Te1 Te 0.383 0.428 0.825
Te2 Te 0.617 0.928 0.675
Te3 Te 0.883 0.428 0.675
Te4 Te 0.883 0.072 0.175
Te5 Te 0.117 0.928 0.825
Te6 Te 0.117 0.572 0.325
Te7 Te 0.383 0.072 0.325
Te8 Te 0.617 0.572 0.175
Rh1 Rh 0.979 0.321 0.885
Rh2 Rh 0.521 0.679 0.385
Rh3 Rh 0.979 0.179 0.385
Rh4 Rh 0.021 0.679 0.115
Rh5 Rh 0.479 0.179 0.115
Rh6 Rh 0.521 0.821 0.885
Rh7 Rh 0.479 0.321 0.615
Rh8 Rh 0.021 0.821 0.615
# - crystal system = orthorhombic
# - energy relative to the elements, uncorrected (eV per atom) = -0.59

=====

[6]
# TeP2Rh | Alexandria | GGA-PBEsol | relaxed
data_TeP2Rh
_chemical_formula_sum 'Te1 P2 Rh1'
_cell_length_a 2.945
_cell_length_b 3.852
_cell_length_c 7.798
_cell_angle_alpha 103.56
_cell_angle_beta 90.00
_cell_angle_gamma 112.48
_space_group_name_H-M_alt 'P 1'
_space_group_IT_number 1
loop_
_space_group_symop_operation_xyz
'x,y,z'
loop_
_atom_site_label
_atom_site_type_symbol
_atom_site_fract_x
_atom_site_fract_y
_atom_site_fract_z
Rh1 Rh 0.500 0.000 0.500
Te1 Te 0.000 0.000 0.000
P1 P 0.165 0.331 0.348
P2 P 0.835 0.669 0.652
# - crystal system = monoclinic
# - N(E_F) (states/eV/f.u.) = 3.4
# - energy relative to the elements, uncorrected (eV per atom) = -0.11

=====

[7]
# TePRh2 | Alexandria | GGA-PBEsol | relaxed
data_TePRh2
_chemical_formula_sum 'Te1 P1 Rh2'
_cell_length_a 3.269
_cell_length_b 4.366
_cell_length_c 4.366
_cell_angle_alpha 90.00
_cell_angle_beta 90.00
_cell_angle_gamma 90.00
_space_group_name_H-M_alt 'P 1'
_space_group_IT_number 1
loop_
_space_group_symop_operation_xyz
'x,y,z'
loop_
_atom_site_label
_atom_site_type_symbol
_atom_site_fract_x
_atom_site_fract_y
_atom_site_fract_z
P1 P 0.500 0.000 0.000
Rh1 Rh 0.000 0.000 0.500
Rh2 Rh 0.000 0.500 0.000
Te1 Te 0.500 0.500 0.500
# - crystal system = tetragonal
# - relative energy among the computed polymorphs (meV/atom) = 206
# - N(E_F) (states/eV/f.u.) = 3.7
# - energy relative to the elements, uncorrected (eV per atom) = 0.02

=====

[8]
# TeP2Rh | Alexandria | GGA-PBEsol | relaxed
data_TeP2Rh
_chemical_formula_sum 'Te1 P2 Rh1'
_cell_length_a 3.563
_cell_length_b 4.492
_cell_length_c 4.672
_cell_angle_alpha 109.39
_cell_angle_beta 90.00
_cell_angle_gamma 90.00
_space_group_name_H-M_alt 'P 1'
_space_group_IT_number 1
loop_
_space_group_symop_operation_xyz
'x,y,z'
loop_
_atom_site_label
_atom_site_type_symbol
_atom_site_fract_x
_atom_site_fract_y
_atom_site_fract_z
Rh1 Rh 0.500 0.000 0.500
P1 P 0.000 0.742 0.666
P2 P 0.000 0.258 0.334
Te1 Te 0.500 0.500 0.000
# - crystal system = monoclinic
# - N(E_F) (states/eV/f.u.) = 1.7
# - energy relative to the elements, uncorrected (eV per atom) = -0.19

=====

[9]
# Te2PRh | Alexandria | GGA-PBEsol | relaxed
data_Te2PRh
_chemical_formula_sum 'Te2 P1 Rh1'
_cell_length_a 3.879
_cell_length_b 3.879
_cell_length_c 8.212
_cell_angle_alpha 76.34
_cell_angle_beta 76.34
_cell_angle_gamma 60.00
_space_group_name_H-M_alt 'P 1'
_space_group_IT_number 1
loop_
_space_group_symop_operation_xyz
'x,y,z'
loop_
_atom_site_label
_atom_site_type_symbol
_atom_site_fract_x
_atom_site_fract_y
_atom_site_fract_z
P1 P 0.000 0.000 0.000
Te1 Te 0.891 0.891 0.327
Te2 Te 0.109 0.109 0.673
Rh1 Rh 0.500 0.500 0.500
# - crystal system = trigonal
# - N(E_F) (states/eV/f.u.) = 2.9
# - energy relative to the elements, uncorrected (eV per atom) = 0.24

=====

[10]
# TlP2Rh2 | Alexandria | GGA-PBEsol | relaxed
data_TlP2Rh2
_chemical_formula_sum 'Tl1 P2 Rh2'
_cell_length_a 3.858
_cell_length_b 3.858
_cell_length_c 6.899
_cell_angle_alpha 106.24
_cell_angle_beta 106.24
_cell_angle_gamma 90.00
_space_group_name_H-M_alt 'P 1'
_space_group_IT_number 1
loop_
_space_group_symop_operation_xyz
'x,y,z'
loop_
_atom_site_label
_atom_site_type_symbol
_atom_site_fract_x
_atom_site_fract_y
_atom_site_fract_z
Rh1 Rh 0.250 0.750 0.500
Rh2 Rh 0.750 0.250 0.500
P1 P 0.352 0.352 0.703
P2 P 0.648 0.648 0.297
Tl1 Tl 0.000 0.000 0.000
# - crystal system = tetragonal
# - formation energy (kJ/mol of atoms) = -45.97
# - N(E_F) (states/eV/f.u.) = 1.3

=====

[11]
# U6P13Rh20 | Alexandria | GGA-PBEsol | relaxed
data_U6P13Rh20
_chemical_formula_sum 'U6 P13 Rh20'
_cell_length_a 3.816
_cell_length_b 13.193
_cell_length_c 13.193
_cell_angle_alpha 120.00
_cell_angle_beta 90.00
_cell_angle_gamma 90.00
_space_group_name_H-M_alt 'P 1'
_space_group_IT_number 1
loop_
_space_group_symop_operation_xyz
'x,y,z'
loop_
_atom_site_label
_atom_site_type_symbol
_atom_site_fract_x
_atom_site_fract_y
_atom_site_fract_z
P1 P 0.253 0.942 0.229
P2 P 0.747 0.058 0.771
P3 P 0.749 0.473 0.611
P4 P 0.749 0.389 0.862
P5 P 0.000 0.000 0.000
P6 P 0.253 0.771 0.713
P7 P 0.747 0.229 0.287
P8 P 0.749 0.138 0.527
P9 P 0.251 0.527 0.389
P10 P 0.747 0.713 0.942
P11 P 0.253 0.287 0.058
P12 P 0.251 0.611 0.138
P13 P 0.251 0.862 0.473
Rh1 Rh 0.254 0.814 0.905
Rh2 Rh 0.249 0.562 0.582
Rh3 Rh 0.751 0.438 0.418
Rh4 Rh 0.249 0.020 0.438
Rh5 Rh 0.251 0.329 0.253
Rh6 Rh 0.751 0.582 0.020
Rh7 Rh 0.249 0.418 0.980
Rh8 Rh 0.749 0.253 0.924
Rh9 Rh 0.749 0.333 0.667
Rh10 Rh 0.749 0.076 0.329
Rh11 Rh 0.746 0.186 0.095
Rh12 Rh 0.749 0.671 0.747
Rh13 Rh 0.751 0.980 0.562
Rh14 Rh 0.251 0.747 0.076
Rh15 Rh 0.251 0.924 0.671
Rh16 Rh 0.254 0.091 0.186
Rh17 Rh 0.254 0.095 0.909
Rh18 Rh 0.746 0.909 0.814
Rh19 Rh 0.746 0.905 0.091
Rh20 Rh 0.251 0.667 0.333
U1 U 0.250 0.527 0.809
U2 U 0.750 0.718 0.527
U3 U 0.250 0.282 0.473
U4 U 0.250 0.191 0.718
U5 U 0.750 0.809 0.282
U6 U 0.750 0.473 0.191
# - crystal system = trigonal
# - formation energy (kJ/mol of atoms) = -83.02
# - N(E_F) (states/eV/f.u.) = 55.3

=====

[12]
# PRh3W | Alexandria | GGA-PBEsol | relaxed
data_PRh3W
_chemical_formula_sum 'P1 Rh3 W1'
_cell_length_a 4.615
_cell_length_b 4.615
_cell_length_c 4.615
_cell_angle_alpha 90.00
_cell_angle_beta 90.00
_cell_angle_gamma 90.00
_space_group_name_H-M_alt 'P 1'
_space_group_IT_number 1
loop_
_space_group_symop_operation_xyz
'x,y,z'
loop_
_atom_site_label
_atom_site_type_symbol
_atom_site_fract_x
_atom_site_fract_y
_atom_site_fract_z
Rh1 Rh 0.500 0.000 0.000
Rh2 Rh 0.000 0.500 0.000
Rh3 Rh 0.000 0.000 0.500
W1 W 0.000 0.000 0.000
P1 P 0.500 0.500 0.500
# - crystal system = cubic
# - formation energy (kJ/mol of atoms) = 148.44
# - N(E_F) (states/eV/f.u.) = 3.6

=====

[13]
# P2RhW | Alexandria | GGA-PBEsol | relaxed
data_P2RhW
_chemical_formula_sum 'P2 Rh1 W1'
_cell_length_a 3.033
_cell_length_b 4.136
_cell_length_c 4.136
_cell_angle_alpha 90.00
_cell_angle_beta 90.00
_cell_angle_gamma 90.00
_space_group_name_H-M_alt 'P 1'
_space_group_IT_number 1
loop_
_space_group_symop_operation_xyz
'x,y,z'
loop_
_atom_site_label
_atom_site_type_symbol
_atom_site_fract_x
_atom_site_fract_y
_atom_site_fract_z
Rh1 Rh 0.500 0.500 0.500
P1 P 0.000 0.500 0.000
P2 P 0.000 0.000 0.500
W1 W 0.500 0.000 0.000
# - crystal system = tetragonal
# - formation energy (kJ/mol of atoms) = -30.16
# - N(E_F) (states/eV/f.u.) = 2.3

=====

[14]
# P2RhW | Alexandria | GGA-PBEsol | relaxed
data_P2RhW
_chemical_formula_sum 'P2 Rh1 W1'
_cell_length_a 2.924
_cell_length_b 2.924
_cell_length_c 7.525
_cell_angle_alpha 78.79
_cell_angle_beta 78.79
_cell_angle_gamma 60.00
_space_group_name_H-M_alt 'P 1'
_space_group_IT_number 1
loop_
_space_group_symop_operation_xyz
'x,y,z'
loop_
_atom_site_label
_atom_site_type_symbol
_atom_site_fract_x
_atom_site_fract_y
_atom_site_fract_z
P1 P 0.249 0.249 0.253
P2 P 0.751 0.751 0.747
W1 W 0.000 0.000 0.000
Rh1 Rh 0.500 0.500 0.500
# - crystal system = trigonal
# - formation energy (kJ/mol of atoms) = -20.61
# - N(E_F) (states/eV/f.u.) = 2.5

=====

The evaluated volume for the records listed, in turn: 19.48, 15.56, 15.49, 16.56, 18.48, 19.77, 15.58, 17.63, 25.73, 18.86, 14.75, 19.66, 12.97, 13.58 Å³/atom.
The evaluated magnetic moment for the records listed, in turn: 0.0, 0.0, 0.0, 0.0, 0.0, 0.0, 0.0, 0.0, 0.0, 0.0, 10.0, 0.0, 0.0, 0.0 μB per formula unit.
The evaluated total energy for the records listed, in turn: -4.765, -6.588, -6.411, -6.497, -6.407, -5.927, -6.382, -5.998, -5.009, -6.574, -8.835, -7.264, -8.695, -8.596 eV per atom.